{
  "formula": "Ca2B10Ir",
  "functional": "PBE-GGA",
  "state": "optimized geometry",
  "cell": [[5.737, 0.000, 0.000], [0.000, 11.452, 0.000], [0.000, 0.000, 4.203]],
  "species": ["Ca", "Ca", "Ca", "Ca", "B", "B", "B", "B", "B", "B", "B", "B", "B", "B", "B", "B", "B", "B", "B", "B", "B", "B", "B", "B", "Ir", "Ir"],
  "fractional_positions": [[0.209, 0.135, 0.000], [0.291, 0.635, 0.000], [0.709, 0.365, 0.000], [0.791, 0.865, 0.000], [0.053, 0.307, 0.500], [0.119, 0.957, 0.500], [0.141, 0.803, 0.500], [0.217, 0.382, 0.199], [0.217, 0.382, 0.801], [0.283, 0.882, 0.199], [0.283, 0.882, 0.801], [0.359, 0.303, 0.500], [0.381, 0.457, 0.500], [0.447, 0.807, 0.500], [0.553, 0.193, 0.500], [0.619, 0.543, 0.500], [0.641, 0.697, 0.500], [0.717, 0.118, 0.199], [0.717, 0.118, 0.801], [0.783, 0.618, 0.199], [0.783, 0.618, 0.801], [0.859, 0.197, 0.500], [0.881, 0.043, 0.500], [0.947, 0.693, 0.500], [0.000, 0.500, 0.500], [0.500, 0.000, 0.500]],
  "spacegroup": "Pbam, No. 55",
  "crystal_system": "orthorhombic"
}

{
  "formula": "Ca2B4Ir3",
  "functional": "PBE-GGA",
  "state": "optimized geometry",
  "cell": [[0.000, 4.711, 4.765], [2.827, 0.000, 4.765], [2.827, 4.711, 0.000]],
  "species": ["Ca", "Ca", "B", "B", "B", "B", "Ir", "Ir", "Ir"],
  "fractional_positions": [[0.158, 0.158, 0.842], [0.842, 0.842, 0.158], [0.116, 0.553, 0.447], [0.447, 0.884, 0.116], [0.553, 0.116, 0.884], [0.884, 0.447, 0.553], [0.000, 0.000, 0.500], [0.500, 0.500, 0.000], [0.500, 0.500, 0.500]],
  "spacegroup": "Fmmm, No. 69",
  "crystal_system": "orthorhombic"
}

{
  "formula": "CaBIr",
  "functional": "PBE-GGA",
  "state": "optimized geometry",
  "cell": [[3.604, 0.000, 0.000], [-1.802, 3.121, 0.000], [0.000, 0.000, 4.558]],
  "species": ["Ca", "B", "Ir"],
  "fractional_positions": [[0.000, 0.000, 0.000], [0.333, 0.667, 0.500], [0.667, 0.333, 0.500]],
  "spacegroup": "P-6m2, No. 187",
  "crystal_system": "hexagonal",
  "polymorph_energy_mev_per_atom": 27.3
}

{
  "formula": "CaBIr",
  "functional": "PBE-GGA",
  "state": "optimized geometry",
  "cell": [[5.628, 0.000, 0.000], [0.000, 7.138, 0.000], [-4.254, 0.000, 5.464]],
  "species": ["Ca", "Ca", "Ca", "Ca", "B", "B", "B", "B", "Ir", "Ir", "Ir", "Ir"],
  "fractional_positions": [[0.120, 0.001, 0.310], [0.120, 0.499, 0.810], [0.880, 0.501, 0.190], [0.880, 0.999, 0.690], [0.500, 0.148, 0.164], [0.500, 0.352, 0.664], [0.500, 0.648, 0.336], [0.500, 0.852, 0.836], [0.500, 0.142, 0.865], [0.500, 0.358, 0.365], [0.500, 0.642, 0.635], [0.500, 0.858, 0.135]],
  "spacegroup": "P2_1/c, No. 14",
  "crystal_system": "monoclinic",
  "polymorph_energy_mev_per_atom": 0.0
}

Quick rundown of energy, same order as above: -6.532 -6.467 -6.355 -6.383 eV per atom
Quick rundown of ΔE_f, same order as above: -0.406 -0.101 -0.509 -0.536 eV/atom
Quick rundown of magnetization, same order as above: 0.00 0.00 0.00 0.00 μB per cell